Record 1
Density functional theory data (GGA-PBE) for a relaxed structure of Mg4ZnPb3.

a b c (Å): 3.4536 3.4536 16.2650
angles (deg): 90.00 90.00 90.00
With the nearest neighbours (Å) after each atom.
Space group P4/mmm (No. 123)
Inequivalent atoms, fractional coordinates:
Mg  0.0000  0.0000  0.0984  4 Zn 2.92, 1 Mg 3.20
Mg  0.0000  0.0000  0.3673  8 Pb 3.26-3.28, 4 Mg 3.45
Zn  0.5000  0.5000  0.0000  8 Mg 2.92
Pb  0.5000  0.5000  0.2322  8 Mg 3.27-3.28, 4 Pb 3.45
Pb  0.5000  0.5000  0.5000  8 Mg 3.26, 4 Pb 3.45

Properties
E (eV/atom): -2.397

***

Record 2
Density functional theory data (GGA-PBE) for a relaxed structure of MgZrPb.

a b c (Å): 6.8461 6.8461 6.8461
angles (deg): 90.00 90.00 90.00
With the nearest neighbours (Å) after each atom.
Space group F-43m (No. 216)
Inequivalent atoms, fractional coordinates:
Mg  0.0000  0.0000  0.0000  4 Pb 2.96
Zr  0.0000  0.0000  0.5000  4 Pb 2.96
Pb  0.2500  0.2500  0.7500  4 Zr 2.96, 4 Mg 2.96

Properties
E (eV/atom): -4.324

***

Record 3
Density functional theory data (GGA-PBE) for a relaxed structure of MgZrPb.

a b c (Å): 3.2312 4.1647 10.4996
angles (deg): 90.00 90.00 90.00
With the nearest neighbours (Å) after each atom.
Space group Imm2 (No. 44)
Inequivalent atoms, fractional coordinates:
Mg  0.0000  0.0000  0.0000  4 Pb 3.11, 4 Zr 3.16, 2 Mg 3.23
Zr  0.0000  0.0000  0.3333  5 Mg 3.16-3.50, 5 Pb 3.22-3.40, 2 Zr 3.23
Pb  0.0000  0.0000  0.6571  4 Mg 3.11, 5 Zr 3.22-3.40, 2 Pb 3.23

Properties
E (eV/atom): -4.604

***

Record 4
Density functional theory data (GGA-PBE) for a relaxed structure of MgZr2Pb2.

a b c (Å): 8.0234 8.0234 3.9340
angles (deg): 90.00 90.00 90.00
With the nearest neighbours (Å) after each atom.
Space group P4/mbm (No. 127)
Inequivalent atoms, fractional coordinates:
Mg  0.0000  0.0000  0.0000  4 Zr 3.13
Zr  0.1334  0.3666  0.0000  6 Pb 2.98-3.14, 1 Zr 3.03, 2 Mg 3.13
Pb  0.1696  0.6696  0.5000  6 Zr 2.98-3.14

Properties
E (eV/atom): -5.196

***

Record 5
Density functional theory data (GGA-PBE) for a relaxed structure of MgZrPb.

a b c (Å): 6.9596 6.9596 6.9596
angles (deg): 90.00 90.00 90.00
With the nearest neighbours (Å) after each atom.
Space group F-43m (No. 216)
Inequivalent atoms, fractional coordinates:
Mg  0.0000  0.0000  0.0000  4 Zr 3.01
Zr  0.2500  0.2500  0.7500  4 Pb 3.01, 4 Mg 3.01
Pb  0.0000  0.0000  0.5000  4 Zr 3.01

Properties
E (eV/atom): -4.265

***

Record 6
Density functional theory data (GGA-PBE) for a relaxed structure of MgZrPb.

a b c (Å): 4.5707 4.5832 13.8971
angles (deg): 90.00 90.00 90.00
With the nearest neighbours (Å) after each atom.
Space group Fmm2 (No. 42)
Inequivalent atoms, fractional coordinates:
Mg  0.0000  0.0000  0.0000  4 Zr 3.16-3.17, 4 Mg 3.24, 4 Pb 3.32-3.33
Zr  0.0000  0.0000  0.3428  4 Mg 3.16-3.17, 4 Zr 3.24, 4 Pb 3.28
Pb  0.0000  0.0000  0.6735  4 Pb 3.24, 4 Zr 3.28, 4 Mg 3.32-3.33

Properties
E (eV/atom): -4.640

***

Record 7
Density functional theory data (GGA-PBE) for a relaxed structure of MgZrPb.

a b c (Å): 11.8381 3.2482 8.3439
angles (deg): 90.00 114.09 90.00
With the nearest neighbours (Å) after each atom.
Space group C2/m (No. 12)
Inequivalent atoms, fractional coordinates:
Mg  0.1563  0.0000  0.1485  5 Pb 3.12-3.27, 3 Zr 3.17-3.22, 2 Mg 3.25
Zr  0.1466  0.0000  0.5223  5 Zr 3.08-3.34, 3 Mg 3.17-3.22, 4 Pb 3.26-3.27
Pb  0.0661  0.5000  0.7988  5 Mg 3.12-3.27, 2 Pb 3.25, 4 Zr 3.26-3.27

Properties
E (eV/atom): -4.685

***

Record 8
Density functional theory data (GGA-PBE) for a relaxed structure of Mg2Zr6Pb.

a b c (Å): 9.6339 9.6339 4.4466
angles (deg): 90.00 90.00 90.00
With the nearest neighbours (Å) after each atom.
Space group P4_2/mnm (No. 136)
Inequivalent atoms, fractional coordinates:
Mg  0.1720  0.1720  0.0000  10 Zr 3.14-3.23, 2 Pb 3.23
Zr  0.0026  0.6643  0.5000  3 Mg 3.14-3.20, 8 Zr 3.16-3.28, 1 Pb 3.23
Zr  0.1626  0.8374  0.0000  2 Pb 3.14, 4 Mg 3.17-3.23, 6 Zr 3.18-3.28
Pb  0.0000  0.0000  0.5000  8 Zr 3.14-3.23, 4 Mg 3.23

Properties
E (eV/atom): -6.502

***

Record 9
Density functional theory data (GGA-PBE) for a relaxed structure of MgZrPb.

a b c (Å): 4.9525 4.9525 3.2893
angles (deg): 90.00 90.00 120.00
With the nearest neighbours (Å) after each atom.
Space group P3m1 (No. 156)
Inequivalent atoms, fractional coordinates:
Mg  0.0000  0.0000  0.0000  3 Pb 2.86
Zr  0.3333  0.6667  0.5117  6 Pb 3.26-3.34, 6 Mg 3.28-3.32, 2 Zr 3.29
Pb  0.6667  0.3333  0.0355  3 Mg 2.86

Properties
E (eV/atom): -4.577

***

Record 10
Density functional theory data (GGA-PBE) for a relaxed structure of Mg2Zr2Pb.

a b c (Å): 7.5603 7.5603 4.4350
angles (deg): 90.00 90.00 90.00
With the nearest neighbours (Å) after each atom.
Space group P4/mbm (No. 127)
Inequivalent atoms, fractional coordinates:
Mg  0.1549  0.3451  0.0000  6 Zr 3.12-3.14, 1 Mg 3.31
Zr  0.1395  0.6395  0.5000  2 Pb 2.92, 1 Zr 2.98, 6 Mg 3.12-3.14
Pb  0.0000  0.0000  0.5000  4 Zr 2.92

Properties
E (eV/atom): -4.611

***

Record 11
Density functional theory data (GGA-PBE) for a relaxed structure of Mg2Zr2Pb.

a b c (Å): 8.1387 8.1387 3.4552
angles (deg): 90.00 90.00 90.00
With the nearest neighbours (Å) after each atom.
Space group P4/mbm (No. 127)
Inequivalent atoms, fractional coordinates:
Mg  0.1192  0.3808  0.0000  1 Mg 2.74, 6 Zr 2.91-3.01
Zr  0.1775  0.6775  0.5000  6 Mg 2.91-3.01
Pb  0.0000  0.0000  0.0000  4 Mg 3.25, 2 Pb 3.46, 8 Zr 3.46

Properties
E (eV/atom): -4.593

***

Record 12
Density functional theory data (GGA-PBE) for a relaxed structure of MgZr12Pb3.

a b c (Å): 5.6868 5.6894 11.3677
angles (deg): 90.00 90.00 90.00
With the nearest neighbours (Å) after each atom.
Space group Pmmm (No. 47)
Inequivalent atoms, fractional coordinates:
Mg  0.0000  0.0000  0.0000  12 Zr 3.17
Zr  0.0000  0.2490  0.2493  2 Zr 2.83-2.86, 1 Mg 3.17
Zr  0.2479  0.5000  0.0000  2 Zr 2.82-2.87
Zr  0.2495  0.5000  0.5000  2 Zr 2.84-2.85, 2 Pb 3.16
Zr  0.5000  0.0000  0.1239  2 Zr 2.82-2.85
Zr  0.5000  0.0000  0.3748  2 Zr 2.85, 4 Pb 3.17-3.18
Pb  0.0000  0.0000  0.5000  12 Zr 3.18
Pb  0.5000  0.5000  0.2515  12 Zr 3.16-3.20

Properties
E (eV/atom): -7.317

***

Record 13
Density functional theory data (GGA-PBE) for a relaxed structure of MgZrPb.

a b c (Å): 4.4660 5.1463 12.4869
angles (deg): 90.00 90.00 90.00
With the nearest neighbours (Å) after each atom.
Space group Fmm2 (No. 42)
Inequivalent atoms, fractional coordinates:
Mg  0.0000  0.0000  0.0000  4 Zr 3.02-3.28, 4 Pb 3.05-3.31
Zr  0.0000  0.0000  0.6633  4 Mg 3.02-3.28, 4 Pb 3.08-3.34
Pb  0.0000  0.0000  0.3336  4 Mg 3.05-3.31, 4 Zr 3.08-3.34, 4 Pb 3.41

Properties
E (eV/atom): -4.618

***

Record 14
Density functional theory data (GGA-PBE) for a relaxed structure of Mg3ZrPb.

a b c (Å): 5.2784 5.2784 5.2784
angles (deg): 90.00 90.00 90.00
With the nearest neighbours (Å) after each atom.
Space group Pm-3m (No. 221)
Inequivalent atoms, fractional coordinates:
Mg  0.0000  0.0000  0.5000  2 Pb 2.64
Zr  0.5000  0.5000  0.5000  12 Mg 3.73
Pb  0.0000  0.0000  0.0000  6 Mg 2.64

Properties
E (eV/atom): -2.593

***

Record 15
Density functional theory data (GGA-PBE) for a relaxed structure of MgZr6Pb.

a b c (Å): 6.3542 6.3542 5.2203
angles (deg): 90.00 90.00 120.00
With the nearest neighbours (Å) after each atom.
Space group P-6m2 (No. 187)
Inequivalent atoms, fractional coordinates:
Mg  0.0000  0.0000  0.0000  12 Zr 3.18-3.19
Zr  0.1672  0.3343  0.5000  8 Zr 3.17-3.19, 2 Pb 3.18, 2 Mg 3.19
Zr  0.5013  0.0025  0.0000  8 Zr 3.15-3.20, 2 Mg 3.18, 2 Pb 3.18
Pb  0.6667  0.3333  0.5000  12 Zr 3.18

Properties
E (eV/atom): -7.159

***

Record 16
Density functional theory data (GGA-PBE) for a relaxed structure of MgZr2Pb2.

a b c (Å): 7.8325 7.8325 3.9881
angles (deg): 90.00 90.00 90.00
With the nearest neighbours (Å) after each atom.
Space group P4/mbm (No. 127)
Inequivalent atoms, fractional coordinates:
Mg  0.0000  0.0000  0.0000  4 Pb 2.98
Zr  0.1519  0.3481  0.5000  6 Pb 2.97-3.09
Pb  0.1494  0.6494  0.0000  6 Zr 2.97-3.09, 2 Mg 2.98, 1 Pb 3.31

Properties
E (eV/atom): -5.273

***

Record 17
Density functional theory data (GGA-PBE) for a relaxed structure of MgPd4.

a b c (Å): 4.9475 4.9475 7.8605
angles (deg): 90.00 90.00 90.00
With the nearest neighbours (Å) after each atom.
Space group I4/mmm (No. 139)
Inequivalent atoms, fractional coordinates:
Mg  0.0000  0.0000  0.0000  2 Pd 2.68
Pd  0.0000  0.0000  0.3410  5 Pd 2.50-2.58, 1 Mg 2.68
Pd  0.0000  0.5000  0.2500  4 Pd 2.58

Properties
E (eV/atom): -4.328

***

Record 18
Density functional theory data (GGA-PBE) for a relaxed structure of MgPd4.

a b c (Å): 5.1615 5.1615 6.1427
angles (deg): 90.00 90.00 90.00
With the nearest neighbours (Å) after each atom.
Space group P-42_1c (No. 114)
Inequivalent atoms, fractional coordinates:
Mg  0.0000  0.0000  0.0000  8 Pd 2.57-2.60
Pd  0.0971  0.2597  0.3480  2 Mg 2.57-2.60, 6 Pd 2.68-2.86

Properties
E (eV/atom): -4.614

***

Record 19
Density functional theory data (GGA-PBE) for a relaxed structure of Mg2Pd.

a b c (Å): 3.2627 3.2627 10.2225
angles (deg): 90.00 90.00 90.00
With the nearest neighbours (Å) after each atom.
Space group I4/mmm (No. 139)
Inequivalent atoms, fractional coordinates:
Mg  0.0000  0.0000  0.1465  4 Pd 2.75, 1 Mg 3.00
Pd  0.0000  0.0000  0.5000  8 Mg 2.75

Properties
E (eV/atom): -3.319

***

Record 20
Density functional theory data (GGA-PBE) for a relaxed structure of Mg5Pd2.

a b c (Å): 8.8285 8.8285 8.0300
angles (deg): 90.00 90.00 120.00
With the nearest neighbours (Å) after each atom.
Space group P6_3/mmc (No. 194)
Inequivalent atoms, fractional coordinates:
Mg  0.0000  0.0000  0.0000  6 Pd 2.78, 6 Mg 2.97
Mg  0.0796  0.5398  0.2500  2 Pd 2.77
Mg  0.1913  0.3826  0.5647  2 Pd 2.63-2.72
Pd  0.1256  0.2512  0.2500  10 Mg 2.72-2.97
Pd  0.3333  0.6667  0.7500  6 Mg 2.63

Properties
E (eV/atom): -3.096